1.
## Hf2Bi2F (PBE)

Data for an optimized crystal structure of Hf2Bi2F.

Properties
* electronic total energy: -6.165 eV/atom
* polymorph energy (0 for the lowest one): 0.000 eV/atom
* energy relative to the elements, uncorrected: -0.257 eV/atom
* SG: No. 127

Lattice parameters (Å, degrees): 8.213 8.213 3.635 90.00 90.00 90.00
Fractional coordinates of all 10 atoms:
Hf 0.638 0.862 0.500
Hf 0.138 0.638 0.500
F 0.000 0.000 0.000
Hf 0.862 0.362 0.500
F 0.500 0.500 0.000
Bi 0.158 0.342 0.000
Hf 0.362 0.138 0.500
Bi 0.658 0.158 0.000
Bi 0.842 0.658 0.000
Bi 0.342 0.842 0.000

---

2.
## LaSm2Mg9 (PBE)

Data for an optimized crystal structure of LaSm2Mg9.

Properties
* electronic total energy: -2.471 eV/atom
* ΔE_f: -0.0779 eV/atom
* SG: No. 166

Lattice parameters (Å, degrees): 6.083 6.083 10.552 73.25 73.25 60.00
Fractional coordinates of all 12 atoms:
Mg 0.080 0.586 0.748
Mg 0.586 0.586 0.748
Mg 0.334 0.334 0.998
La 0.000 0.000 0.000
Mg 0.500 0.500 0.500
Mg 0.414 0.920 0.252
Mg 0.666 0.666 0.002
Mg 0.414 0.414 0.252
Sm 0.145 0.145 0.566
Mg 0.586 0.080 0.748
Sm 0.855 0.855 0.434
Mg 0.920 0.414 0.252

---

3.
## InIr2Rh (PBE)

Data for an optimized crystal structure of InIr2Rh.

Properties
* electronic total energy: -6.959 eV/atom
* ΔE_f: -0.0057 eV/atom
* SG: No. 8

Lattice parameters (Å, degrees): 4.803 4.803 4.895 79.83 79.83 34.68
Fractional coordinates of all 4 atoms:
Ir 0.996 0.996 0.032
Rh 0.502 0.502 0.495
Ir 0.252 0.252 0.235
In 0.750 0.750 0.737

---

4.
## Dy9Y3Ho2 (PBE)

Data for an optimized crystal structure of Dy9Y3Ho2.

Properties
* electronic total energy: -4.890 eV/atom
* ΔE_f: 0.1080 eV/atom
* SG: No. 1

Lattice parameters (Å, degrees): 6.241 13.745 10.480 39.72 55.79 53.88
Fractional coordinates of all 14 atoms:
Dy 0.690 0.936 0.841
Y 0.410 0.733 0.630
Dy 0.397 0.706 0.984
Dy 0.013 0.505 0.825
Dy 0.603 0.293 0.009
Dy 0.039 0.498 0.495
Dy 0.195 0.096 0.506
Dy 0.820 0.903 0.494
Ho 0.431 0.698 0.340
Dy 0.238 0.103 0.129
Y 0.624 0.288 0.330
Y 0.899 0.928 0.110
Dy 0.993 0.515 0.149
Ho 0.648 0.297 0.658